KRuCl: optimized geometry, PBE-GGA.

Unit cell a=3.8900 b=3.8900 c=5.5506 alpha=90.00 beta=90.00 gamma=120.00
With the nearest neighbours (Å) after each atom.
Atoms (fractional coordinates):
K 0.0000 0.0000 0.0000  3 Cl 3.18, 3 Ru 3.52
Ru 0.6667 0.3333 0.5120  3 Cl 2.32
Cl 0.3333 0.6667 0.4056  3 Ru 2.32

Calculated values
- ΔE to the lowest computed polymorph: 0 meV per atom
- Density: 4.01 g cm⁻³
- Spin magnetization: 0.517 μB/f.u.
- Raw formation energy: 0.904 eV/f.u.
- Energy: -11.3 eV for the cell shown
- Space-group type: P3m1 (156)